(1)
## CeMg4Cd5 (PBE-GGA)

Data for crystalline CeMg4Cd5 at its relaxed geometry.

Values from the calculation:
- Formation enthalpy at 0 K: -0.131 eV per atom
- Fermi-level density of states: 7.32 states/eV/f.u.

abc: 3.309 3.309 20.710
angles: 90.00 90.00 90.00
Space group P4/mmm (No. 123)
Unique sites:
Ce: 0.000 0.000 0.000 x1
Mg: 0.000 0.000 0.211 x2
Mg: 0.000 0.000 0.403 x2
Cd: 0.500 0.500 0.115 x2
Cd: 0.500 0.500 0.307 x2
Cd: 0.500 0.500 0.500 x1

(2)
## RbAcSnO3 (PBE-GGA)

Data for crystalline RbAcSnO3 at its relaxed geometry.

Values from the calculation:
- Uncorrected formation energy: -2097.4 meV per atom
- Fermi-level density of states: 0.00 states/eV/f.u.

abc: 7.078 3.722 11.324
angles: 90.00 97.91 90.00
Space group P2_1/m (No. 11)
Unique sites:
Rb: 0.217 0.250 0.261 x2
Ac: 0.339 0.750 0.875 x2
Sn: 0.222 0.250 0.603 x2
O: 0.124 0.250 0.771 x2
O: 0.381 0.750 0.655 x2
O: 0.430 0.750 0.097 x2

(3)
## TaZn3Pt (PBE-GGA)

Data for crystalline TaZn3Pt at its relaxed geometry.

Values from the calculation:
- Polymorph energy (0 for the lowest one): 0.00 kJ per mole of atoms
- Formation enthalpy at 0 K: 0.777 eV per atom
- Fermi-level density of states: 5.70 states/eV/f.u.

abc: 4.651 4.651 4.651
angles: 90.00 90.00 90.00
Space group Pm-3m (No. 221)
Unique sites:
Ta: 0.000 0.000 0.000 x1
Zn: 0.000 0.500 0.500 x3
Pt: 0.500 0.500 0.500 x1